Computed, not measured: a relaxed Ni3H6SO3 crystal at the PBE with a Hubbard U level of DFT.

Results
relative energy among the computed polymorphs: 155 meV per atom
D(E_F): 0.0 states/eV per cell
symmetry: P1, No. 1
uncorrected energy: -3.85 eV per atom

a = 4.5152 Å, b = 6.6644 Å, c = 6.2308 Å
α = 96.71°, β = 103.50°, γ = 128.72°
Last column: nearest neighbours and their distance in Å.
Fractional coordinates of all 13 atoms:
Ni1 0.1588 0.1906 0.5870  2 H 1.74-1.76
Ni2 0.6977 0.1330 0.1514  1 H 1.68
Ni3 0.5798 0.5513 0.0013  1 H 1.54
H1 0.2049 0.4325 0.7805  1 Ni 1.54
H2 0.1330 0.3538 0.3958  2 Ni 1.68-1.74, 1 H 1.79
H3 0.9053 0.5335 0.6856  1 H 0.76
H4 0.4315 0.7153 0.4883  1 O 0.98
H5 0.7991 0.5788 0.6271  1 H 0.76
H6 0.1262 0.0706 0.9510  1 O 1.03
S1 0.1897 0.9199 0.3111  2 O 1.95-1.99
O1 0.8182 0.9114 0.0668  1 H 1.54
O2 0.3946 0.1921 0.9222  1 H 1.03
O3 0.5612 0.9075 0.5416  1 H 0.98